BaTlInSb: relaxed, PBE-GGA.

The structure in POSCAR format:
```
BaTlInSb
1.0
0.000 4.070 4.070
4.070 0.000 4.070
4.070 4.070 0.000
Ba Tl In Sb
1 1 1 1
direct
0.000 0.000 0.000
0.750 0.750 0.750
0.500 0.500 0.500
0.250 0.250 0.250
```

Computed properties:
Space group ... F-43m (216)
Size of the total moment ... 0.00 μB per cell
Uncorrected energy ... -12.4 eV/f.u.
V ... 134.87 Å³ per cell
DOS at the Fermi energy ... 4.39 states/eV/cell